No. 1
# InCo2NiSn (PBE, relaxed)
# * magnetic moment: 3.9 μB/cell
# * calculated total energy: -23.03 eV per cell
# * ΔH_f (0 K): 0.74 eV per atom
data_InCo2NiSn
_chemical_formula_sum 'In1 Co2 Ni1 Sn1'
_space_group_name_H-M_alt 'P 4/m m m'
_space_group_IT_number 123
_space_group_name_Hall '-P 4 2'
_cell_length_a 4.390
_cell_length_b 4.390
_cell_length_c 4.621
_cell_angle_alpha 90.00
_cell_angle_beta 90.00
_cell_angle_gamma 90.00
loop_
_atom_site_label
_atom_site_type_symbol
_atom_site_fract_x
_atom_site_fract_y
_atom_site_fract_z
In1 In 0.000 0.000 0.000
Co1 Co 0.000 0.500 0.500
Ni1 Ni 0.000 0.000 0.500
Sn1 Sn 0.500 0.500 0.000


No. 2
# TaInCoNi (PBE, relaxed)
# * magnetic moment: 3.4 μB/cell
# * calculated total energy: -111.58 eV per cell
# * ΔH_f (0 K): -0.10 eV per atom
data_TaInCoNi
_chemical_formula_sum 'Ta4 In4 Co4 Ni4'
_space_group_name_H-M_alt 'F -4 3 m'
_space_group_IT_number 216
_space_group_name_Hall 'F -4 2 3'
_cell_length_a 6.173
_cell_length_b 6.173
_cell_length_c 6.173
_cell_angle_alpha 90.00
_cell_angle_beta 90.00
_cell_angle_gamma 90.00
loop_
_atom_site_label
_atom_site_type_symbol
_atom_site_fract_x
_atom_site_fract_y
_atom_site_fract_z
Ta1 Ta 0.000 0.000 0.000
In1 In 0.000 0.000 0.500
Co1 Co 0.250 0.250 0.750
Ni1 Ni 0.250 0.250 0.250


No. 3
# TbInCoNi (PBE, relaxed)
# * magnetic moment: 2.8 μB/cell
# * calculated total energy: -84.41 eV per cell
# * ΔH_f (0 K): -0.21 eV per atom
data_TbInCoNi
_chemical_formula_sum 'Tb4 In4 Co4 Ni4'
_space_group_name_H-M_alt 'F -4 3 m'
_space_group_IT_number 216
_space_group_name_Hall 'F -4 2 3'
_cell_length_a 6.499
_cell_length_b 6.499
_cell_length_c 6.499
_cell_angle_alpha 90.00
_cell_angle_beta 90.00
_cell_angle_gamma 90.00
loop_
_atom_site_label
_atom_site_type_symbol
_atom_site_fract_x
_atom_site_fract_y
_atom_site_fract_z
Tb1 Tb 0.000 0.000 0.000
In1 In 0.000 0.000 0.500
Co1 Co 0.250 0.250 0.250
Ni1 Ni 0.250 0.250 0.750


No. 4
# InCoNiTe2 (PBE, relaxed)
# * magnetic moment: 2.0 μB/cell
# * formation energy without anion corrections: 425 meV/atom
# * calculated total energy: -19.79 eV per cell
data_InCoNiTe2
_chemical_formula_sum 'In1 Co1 Ni1 Te2'
_space_group_name_H-M_alt 'P 4/m m m'
_space_group_IT_number 123
_space_group_name_Hall '-P 4 2'
_cell_length_a 5.075
_cell_length_b 5.075
_cell_length_c 4.524
_cell_angle_alpha 90.00
_cell_angle_beta 90.00
_cell_angle_gamma 90.00
loop_
_atom_site_label
_atom_site_type_symbol
_atom_site_fract_x
_atom_site_fract_y
_atom_site_fract_z
In1 In 0.000 0.000 0.000
Co1 Co 0.500 0.500 0.500
Ni1 Ni 0.500 0.500 0.000
Te1 Te 0.000 0.500 0.500


Among the records above, which one has the lowest magnetic moment?
InCoNiTe2